one) Sc5Cd3, PBEsol geometry, DFT meta-GGA SCAN; space group = P6_3/mcm (193)
1.0
-3.391 -3.620 2.178
4.503 0.217 7.370
-6.592 5.454 -1.197
Sc Cd
10 6
direct
0.750 0.000 0.231
0.500 0.667 0.333
0.750 0.231 0.000
0.250 0.231 0.231
0.500 0.333 0.667
0.000 0.333 0.667
0.250 0.769 0.000
0.750 0.769 0.769
0.000 0.667 0.333
0.250 0.000 0.769
0.250 0.598 0.598
0.250 0.000 0.402
0.750 0.598 0.000
0.250 0.402 0.000
0.750 0.402 0.402
0.750 0.000 0.598

two) Sc5Cd3, PBEsol geometry, DFT meta-GGA SCAN; space group = I4/mcm (140)
1.0
-4.781 -2.039 1.492
-2.738 -5.231 -6.123
1.362 -7.189 4.338
Sc Cd
10 6
direct
0.419 0.303 0.859
0.278 0.141 0.303
0.750 0.500 0.500
0.222 0.697 0.859
0.581 0.697 0.141
0.722 0.859 0.697
0.250 0.500 0.500
0.778 0.303 0.141
0.081 0.141 0.697
0.919 0.859 0.303
0.165 0.500 0.170
0.335 0.830 0.500
0.665 0.170 0.500
0.835 0.500 0.830
0.250 0.000 0.000
0.750 0.000 0.000

Among the structures shown above, two) is the most stable, with the second-best lying 14 meV/atom higher.